K3TmTh2Se6 | PBE | optimized geometry

Cell: 7.303 12.648 8.165 Å, 90.00 107.37 90.00°
Space group C2/m (No. 12)
Asymmetric unit:
K 0.000 0.000 0.000 x2
K 0.000 0.332 0.000 x4
Tm 0.000 0.500 0.500 x2
Th 0.000 0.166 0.500 x4
Se 0.233 0.338 0.713 x8
Se 0.247 0.000 0.713 x4

Calculated values
DOS at the Fermi energy	13.862	states/eV/cell
total magnetization	0.0	Bohr magnetons per cell
raw formation energy	-154	kJ per mole of atoms


K3Tm2ThSe6 | PBE | optimized geometry

Cell: 7.258 12.574 8.093 Å, 90.00 107.41 90.00°
Space group C2/m (No. 12)
Asymmetric unit:
K 0.000 0.000 0.000 x2
K 0.000 0.334 0.000 x4
Tm 0.000 0.167 0.500 x4
Th 0.000 0.500 0.500 x2
Se 0.229 0.000 0.707 x4
Se 0.240 0.330 0.708 x8

Calculated values
DOS at the Fermi energy	8.731	states/eV/cell
total magnetization	0.0	Bohr magnetons per cell
raw formation energy	-161	kJ per mole of atoms


K2TmThSe4 | PBE | optimized geometry

Cell: 7.310 4.190 8.120 Å, 90.00 107.14 90.00°
Space group P2/m (No. 10)
Asymmetric unit:
K 0.000 0.000 0.000 x1
K 0.500 0.500 0.000 x1
Tm 0.000 0.500 0.500 x1
Th 0.500 0.000 0.500 x1
Se 0.229 0.000 0.706 x2
Se 0.253 0.500 0.286 x2

Calculated values
DOS at the Fermi energy	4.157	states/eV/cell
total magnetization	0.0	Bohr magnetons per cell
raw formation energy	-157	kJ per mole of atoms